(1)
# GGA-PBE TbTm2Pu3Te6, relaxed
# M_tot, μB per cell: 18.0
# Formation energy without anion corrections, meV/atom: -1185
# Density, g/cm³: 9.31
# Space-group type: No. 12
data_TbTm2Pu3Te6
_chemical_formula_sum 'Tb1 Tm2 Pu3 Te6'
_cell_length_a 9.8298
_cell_length_b 9.8298
_cell_length_c 8.8091
_cell_angle_alpha 104.01
_cell_angle_beta 104.01
_cell_angle_gamma 25.56
_space_group_name_H-M_alt 'P 1'
_space_group_IT_number 1
loop_
_space_group_symop_operation_xyz
'x,y,z'
loop_
_atom_site_label
_atom_site_fract_x
_atom_site_fract_y
_atom_site_fract_z
Tb1 0.0000 0.0000 0.0000
Tm1 0.3338 0.3338 0.6681
Tm2 0.6662 0.6662 0.3319
Pu1 0.0000 0.0000 0.5000
Pu2 0.3347 0.3347 0.1671
Pu3 0.6653 0.6653 0.8329
Te1 0.1665 0.1665 0.0895
Te2 0.1691 0.1691 0.5775
Te3 0.4973 0.4973 0.7508
Te4 0.5027 0.5027 0.2492
Te5 0.8309 0.8309 0.4225
Te6 0.8335 0.8335 0.9105



(2)
# GGA-PBE Tb3TmPu3Te8, relaxed
# M_tot, μB per cell: 17.7
# Formation energy without anion corrections, meV/atom: -1271
# Density, g/cm³: 8.32
# Space-group type: No. 166
data_Tb3TmPu3Te8
_chemical_formula_sum 'Tb3 Tm1 Pu3 Te8'
_cell_length_a 8.7947
_cell_length_b 8.7947
_cell_length_c 8.7947
_cell_angle_alpha 59.76
_cell_angle_beta 59.76
_cell_angle_gamma 59.76
_space_group_name_H-M_alt 'P 1'
_space_group_IT_number 1
loop_
_space_group_symop_operation_xyz
'x,y,z'
loop_
_atom_site_label
_atom_site_fract_x
_atom_site_fract_y
_atom_site_fract_z
Tb1 0.0000 0.5000 0.5000
Tb2 0.5000 0.0000 0.5000
Tb3 0.5000 0.5000 0.0000
Tm1 0.0000 0.0000 0.0000
Pu1 0.0000 0.0000 0.5000
Pu2 0.0000 0.5000 0.0000
Pu3 0.5000 0.0000 0.0000
Te1 0.2499 0.2499 0.7466
Te2 0.2499 0.7466 0.2499
Te3 0.2509 0.2509 0.2509
Te4 0.2534 0.7501 0.7501
Te5 0.7466 0.2499 0.2499
Te6 0.7491 0.7491 0.7491
Te7 0.7501 0.2534 0.7501
Te8 0.7501 0.7501 0.2534



(3)
# GGA-PBE TbY2Pu3Te6, relaxed
# M_tot, μB per cell: 18.0
# Formation energy without anion corrections, meV/atom: -1230
# Density, g/cm³: 8.44
# Space-group type: No. 12
data_TbY2Pu3Te6
_chemical_formula_sum 'Tb1 Y2 Pu3 Te6'
_cell_length_a 9.8647
_cell_length_b 9.8647
_cell_length_c 8.8318
_cell_angle_alpha 103.68
_cell_angle_beta 103.68
_cell_angle_gamma 25.66
_space_group_name_H-M_alt 'P 1'
_space_group_IT_number 1
loop_
_space_group_symop_operation_xyz
'x,y,z'
loop_
_atom_site_label
_atom_site_fract_x
_atom_site_fract_y
_atom_site_fract_z
Tb1 0.0000 0.0000 0.0000
Y1 0.3335 0.3335 0.6672
Y2 0.6665 0.6665 0.3328
Pu1 0.0000 0.0000 0.5000
Pu2 0.3335 0.3335 0.1670
Pu3 0.6665 0.6665 0.8330
Te1 0.1659 0.1659 0.0856
Te2 0.1677 0.1677 0.5806
Te3 0.4990 0.4990 0.7518
Te4 0.5010 0.5010 0.2482
Te5 0.8323 0.8323 0.4194
Te6 0.8341 0.8341 0.9144